# 1
# LaBe2Ni

A relaxed LaBe2Ni crystal (PBE, Alexandria).

Geometry as CIF:
```
data_LaBe2Ni
_cell_length_a 3.8554
_cell_length_b 3.8554
_cell_length_c 5.3025
_cell_angle_alpha 104.42
_cell_angle_beta 104.42
_cell_angle_gamma 60.40
_space_group_name_H-M_alt 'P 1'
_space_group_IT_number 1
loop_
_space_group_symop_operation_xyz
'x,y,z'
loop_
_atom_site_label
_atom_site_type_symbol
_atom_site_fract_x
_atom_site_fract_y
_atom_site_fract_z
_atom_site_occupancy
La1 La 0.0000 0.0000 0.0000 1
Be1 Be 0.2132 0.2132 0.5522 1
Be2 Be 0.5304 0.5304 0.5008 1
Ni1 Ni 0.8514 0.8514 0.4523 1
```

Calculated values
Electronic total energy ... -4.74 eV/atom
SG ... Cm (8)
Total moment ... 0.0 μB per formula unit
Volume ... 65.62 Å³ per cell

=====

# 2
# LaBe2Ni

A relaxed LaBe2Ni crystal (PBE, Alexandria).

Geometry as CIF:
```
data_LaBe2Ni
_cell_length_a 4.5213
_cell_length_b 4.5213
_cell_length_c 4.5213
_cell_angle_alpha 119.95
_cell_angle_beta 119.95
_cell_angle_gamma 90.08
_space_group_name_H-M_alt 'P 1'
_space_group_IT_number 1
loop_
_space_group_symop_operation_xyz
'x,y,z'
loop_
_atom_site_label
_atom_site_type_symbol
_atom_site_fract_x
_atom_site_fract_y
_atom_site_fract_z
_atom_site_occupancy
La1 La 0.0000 0.0000 0.0000 1
Be1 Be 0.5000 0.5000 0.0000 1
Be2 Be 0.7500 0.2500 0.5000 1
Ni1 Ni 0.2500 0.7500 0.5000 1
```

Calculated values
Electronic total energy ... -4.23 eV/atom
SG ... I-4m2 (119)
Total moment ... 0.0 μB per formula unit
Volume ... 65.40 Å³ per cell

=====

# 3
# LaBeNi

A relaxed LaBeNi crystal (PBE, Alexandria).

Geometry as CIF:
```
data_LaBeNi
_cell_length_a 4.6603
_cell_length_b 4.6603
_cell_length_c 4.6603
_cell_angle_alpha 60.00
_cell_angle_beta 60.00
_cell_angle_gamma 60.00
_space_group_name_H-M_alt 'P 1'
_space_group_IT_number 1
loop_
_space_group_symop_operation_xyz
'x,y,z'
loop_
_atom_site_label
_atom_site_type_symbol
_atom_site_fract_x
_atom_site_fract_y
_atom_site_fract_z
_atom_site_occupancy
La1 La 0.0000 0.0000 0.0000 1
Be1 Be 0.2500 0.2500 0.2500 1
Ni1 Ni 0.7500 0.7500 0.7500 1
```

Calculated values
Electronic total energy ... -4.00 eV/atom
SG ... F-43m (216)
Total moment ... 0.0 μB per formula unit
Volume ... 71.57 Å³ per cell

=====

# 4
# LaBeNi

A relaxed LaBeNi crystal (PBE, Alexandria).

Geometry as CIF:
```
data_LaBeNi
_cell_length_a 5.6275
_cell_length_b 5.6275
_cell_length_c 5.6275
_cell_angle_alpha 147.62
_cell_angle_beta 147.62
_cell_angle_gamma 46.44
_space_group_name_H-M_alt 'P 1'
_space_group_IT_number 1
loop_
_space_group_symop_operation_xyz
'x,y,z'
loop_
_atom_site_label
_atom_site_type_symbol
_atom_site_fract_x
_atom_site_fract_y
_atom_site_fract_z
_atom_site_occupancy
La1 La 0.0000 0.0000 0.0000 1
Be1 Be 0.7202 0.7202 0.0000 1
Ni1 Ni 0.2837 0.2837 0.0000 1
```

Calculated values
Electronic total energy ... -4.82 eV/atom
SG ... I4mm (107)
Total moment ... 0.0 μB per formula unit
Volume ... 50.92 Å³ per cell

=====

# 5
# LaBe2Ni

A relaxed LaBe2Ni crystal (PBE, Alexandria).

Geometry as CIF:
```
data_LaBe2Ni
_cell_length_a 7.7160
_cell_length_b 7.7160
_cell_length_c 7.7160
_cell_angle_alpha 145.89
_cell_angle_beta 145.89
_cell_angle_gamma 49.01
_space_group_name_H-M_alt 'P 1'
_space_group_IT_number 1
loop_
_space_group_symop_operation_xyz
'x,y,z'
loop_
_atom_site_label
_atom_site_type_symbol
_atom_site_fract_x
_atom_site_fract_y
_atom_site_fract_z
_atom_site_occupancy
La1 La 0.3750 0.6250 0.7500 1
La2 La 0.6250 0.3750 0.2500 1
Be1 Be 0.0000 0.0000 0.0000 1
Be2 Be 0.0000 0.0000 0.5000 1
Be3 Be 0.0000 0.5000 0.0000 1
Be4 Be 0.5000 0.0000 0.5000 1
Ni1 Ni 0.1250 0.8750 0.2500 1
Ni2 Ni 0.8750 0.1250 0.7500 1
```

Calculated values
Electronic total energy ... -4.52 eV/atom
SG ... I4_1/amd (141)
Total moment ... 0.0 μB per formula unit
Volume ... 143.81 Å³ per cell

=====

# 6
# LaBe2Ni

A relaxed LaBe2Ni crystal (PBE, Alexandria).

Geometry as CIF:
```
data_LaBe2Ni
_cell_length_a 2.9599
_cell_length_b 3.5405
_cell_length_c 6.0931
_cell_angle_alpha 90.00
_cell_angle_beta 103.83
_cell_angle_gamma 90.00
_space_group_name_H-M_alt 'P 1'
_space_group_IT_number 1
loop_
_space_group_symop_operation_xyz
'x,y,z'
loop_
_atom_site_label
_atom_site_type_symbol
_atom_site_fract_x
_atom_site_fract_y
_atom_site_fract_z
_atom_site_occupancy
La1 La 0.0000 0.0000 0.0000 1
Be1 Be 0.2559 0.0000 0.4959 1
Be2 Be 0.3477 0.5000 0.6896 1
Ni1 Ni 0.7186 0.5000 0.4269 1
```

Calculated values
Electronic total energy ... -4.50 eV/atom
SG ... Pm (6)
Total moment ... 0.0 μB per formula unit
Volume ... 62.00 Å³ per cell